(1)
NaMgSn2Rh, optimized geometry, DFT GGA-PBE; crystal system = tetragonal; formation energy from the elements = -18.1 kJ per mole of atoms
1.0
5.1450 0.0000 0.0000
0.0000 5.1450 0.0000
0.0000 0.0000 5.0274
Na Sn Mg Rh
1 2 1 1
Direct
0.5000 0.5000 0.5000 Na
0.5000 0.0000 0.0000 Sn
0.0000 0.5000 0.0000 Sn
0.0000 0.0000 0.5000 Mg
0.0000 0.0000 0.0000 Rh


(2)
NaSrMg2Rh, optimized geometry, DFT GGA-PBE; crystal system = tetragonal; formation energy from the elements = -5.8 kJ per mole of atoms; offset from the most stable computed form = 50 meV per atom
1.0
5.0618 0.0000 0.0000
0.0000 5.0618 0.0000
0.0000 0.0000 5.4379
Sr Mg Na Rh
1 2 1 1
Direct
0.5000 0.5000 0.5000 Sr
0.0000 0.5000 0.0000 Mg
0.5000 0.0000 0.0000 Mg
0.0000 0.0000 0.5000 Na
0.0000 0.0000 0.0000 Rh


(3)
NaSrMg2Rh, optimized geometry, DFT GGA-PBE; crystal system = tetragonal; formation energy from the elements = -10.6 kJ per mole of atoms; offset from the most stable computed form = 0 meV per atom
1.0
-3.8771 1.6891 -2.9746
-1.0461 -4.8662 -1.3997
-3.5533 -0.4885 4.3540
Rh Mg Na Sr
1 2 1 1
Direct
0.0000 0.0000 0.0000 Rh
0.5000 0.0000 0.0000 Mg
0.0000 0.5000 0.0000 Mg
0.5000 0.5000 0.5000 Na
0.0000 0.0000 0.5000 Sr


(4)
NaY2MgRh, optimized geometry, DFT GGA-PBE; crystal system = tetragonal; formation energy from the elements = -20.6 kJ per mole of atoms
1.0
5.3458 0.0000 0.0000
0.0000 5.3458 0.0000
0.0000 0.0000 5.2483
Rh Y Mg Na
1 2 1 1
Direct
0.0000 0.0000 0.0000 Rh
0.0000 0.5000 0.0000 Y
0.5000 0.0000 0.0000 Y
0.0000 0.0000 0.5000 Mg
0.5000 0.5000 0.5000 Na


(5)
NaMgZnRh, optimized geometry, DFT GGA-PBE; crystal system = cubic; formation energy from the elements = -11.6 kJ per mole of atoms
1.0
4.5617 0.0000 0.0000
2.2809 3.9506 0.0000
2.2809 1.3169 3.7247
Zn Rh Na Mg
1 1 1 1
Direct
0.7500 0.7500 0.7500 Zn
0.5000 0.5000 0.5000 Rh
0.0000 0.0000 0.0000 Na
0.2500 0.2500 0.2500 Mg


(6)
NaMg2ZnRh, optimized geometry, DFT GGA-PBE; crystal system = tetragonal; formation energy from the elements = -10.9 kJ per mole of atoms
1.0
-2.7615 2.6505 -3.1717
-4.0792 -1.1319 2.6057
0.6571 3.9894 2.7617
Mg Rh Na Zn
2 1 1 1
Direct
0.0000 0.5000 0.0000 Mg
0.5000 0.0000 0.0000 Mg
0.0000 0.0000 0.0000 Rh
0.5000 0.5000 0.5000 Na
0.0000 0.0000 0.5000 Zn


(7)
Na2MgRu, optimized geometry, DFT GGA-PBE; crystal system = tetragonal; formation energy from the elements = 80.8 kJ per mole of atoms
1.0
8.2061 0.0000 0.0000
0.0000 8.2061 0.0000
4.1031 4.1031 2.6992
Na Ru Mg
4 2 2
Direct
0.3750 0.3580 0.7500 Na
0.6420 0.1250 0.2500 Na
0.1080 0.6250 0.2500 Na
0.8750 0.8920 0.7500 Na
0.0000 0.0000 0.0000 Ru
0.7500 0.2500 0.5000 Ru
0.2500 0.7500 0.5000 Mg
0.5000 0.5000 0.0000 Mg


(8)
NaMgRu2, optimized geometry, DFT GGA-PBE; crystal system = tetragonal; formation energy from the elements = 91.9 kJ per mole of atoms
1.0
7.4954 0.0000 0.0000
0.0000 7.4954 0.0000
3.7477 3.7477 2.5036
Na Ru Mg
2 4 2
Direct
0.2500 0.7500 0.5000 Na
0.5000 0.5000 0.0000 Na
0.3750 0.3511 0.7500 Ru
0.8750 0.8989 0.7500 Ru
0.6489 0.1250 0.2500 Ru
0.1011 0.6250 0.2500 Ru
0.7500 0.2500 0.5000 Mg
0.0000 0.0000 0.0000 Mg


(9)
NaMg2Ru2, optimized geometry, DFT GGA-PBE; crystal system = tetragonal; formation energy from the elements = 25.9 kJ per mole of atoms
1.0
-6.5783 -4.1228 2.0979
0.0218 -3.6748 -7.1532
1.6502 -2.0854 1.0763
Mg Ru Na
4 4 2
Direct
0.3166 0.1834 0.5000 Mg
0.1834 0.6834 0.5000 Mg
0.6834 0.8166 0.5000 Mg
0.8166 0.3166 0.5000 Mg
0.1057 0.3943 0.0000 Ru
0.8943 0.6057 0.0000 Ru
0.3943 0.8943 0.0000 Ru
0.6057 0.1057 0.0000 Ru
0.0000 0.0000 0.0000 Na
0.5000 0.5000 0.0000 Na


(10)
NaMgSiRu2, optimized geometry, DFT GGA-PBE; ΔE_f (raw) = 1.426 eV per atom; crystal system = tetragonal
1.0
-0.5653 -0.3022 4.6247
0.2616 -4.6536 -0.2721
4.6731 0.2284 0.5861
Na Ru Mg Si
1 2 1 1
Direct
0.5000 0.5000 0.5000 Na
0.0000 0.5000 0.0000 Ru
0.5000 0.0000 0.0000 Ru
0.0000 0.0000 0.0000 Mg
0.0000 0.0000 0.5000 Si


(11)
NaMg2SiRu, optimized geometry, DFT GGA-PBE; ΔE_f (raw) = -0.058 eV per atom; crystal system = tetragonal
1.0
-3.9386 2.6047 -1.7361
1.5037 -0.8728 -4.7210
-2.4953 -3.8308 -0.0866
Ru Si Mg Na
1 1 2 1
Direct
0.0000 0.0000 0.0000 Ru
0.0000 0.0000 0.5000 Si
0.0000 0.5000 0.0000 Mg
0.5000 0.0000 0.0000 Mg
0.5000 0.5000 0.5000 Na


(12)
NaMgSn2Ru, optimized geometry, DFT GGA-PBE; crystal system = tetragonal; formation energy from the elements = -4.4 kJ per mole of atoms
1.0
-2.6100 -1.2787 4.2226
3.4454 -3.6553 1.0227
2.7420 3.3420 2.7069
Na Ru Mg Sn
1 1 1 2
Direct
0.5000 0.5000 0.5000 Na
0.0000 0.0000 0.0000 Ru
0.0000 0.0000 0.5000 Mg
0.5000 0.0000 0.0000 Sn
0.0000 0.5000 0.0000 Sn